[1]
Computed, not measured: a geometry-optimized LaAs2Pt structure at the PBE-GGA level of DFT.

abc: 4.333 4.713 4.713
angles: 90.00 92.38 90.00
Space group Pm (No. 6)
One atom of each set of equivalent atoms:
La (0.000, 0.000, 0.000) x1
As (0.471, 0.000, 0.510) x1
As (0.617, 0.500, 0.241) x1
Pt (0.441, 0.500, 0.746) x1

[2]
Computed, not measured: a geometry-optimized LaAsPt structure at the PBE-GGA level of DFT.

abc: 4.789 5.392 10.460
angles: 90.00 90.00 90.00
Space group Fmm2 (No. 42)
One atom of each set of equivalent atoms:
La (0.000, 0.000, 0.000) x4
As (0.000, 0.000, 0.290) x4
Pt (0.000, 0.000, 0.685) x4

[3]
Computed, not measured: a geometry-optimized La2AsPt6 structure at the PBE-GGA level of DFT.

abc: 9.945 5.737 6.333
angles: 90.00 103.48 90.00
Space group C2/m (No. 12)
One atom of each set of equivalent atoms:
La (0.139, 0.000, 0.346) x4
As (0.000, 0.500, 0.500) x2
Pt (0.120, 0.500, 0.191) x4
Pt (0.139, 0.245, 0.814) x8

[4]
Computed, not measured: a geometry-optimized LaAs3Pt structure at the PBE-GGA level of DFT.

abc: 5.553 5.553 5.553
angles: 90.00 90.00 90.00
Space group Pm-3m (No. 221)
One atom of each set of equivalent atoms:
La (0.000, 0.000, 0.000) x1
As (0.000, 0.000, 0.500) x3
Pt (0.500, 0.500, 0.500) x1

## Properties
The energy relative to the lowest polymorph listed for this composition is 1538 meV/atom.

Across the entries above, E_form takes the values -808.4; -712.3; -902.6; 1256.6 meV/atom, respectively.
Across the entries above, energy takes the values -23.5; -17.8; -58.9; -18.6 eV/f.u., respectively.